No. 1
A plane-wave DFT calculation with PBE was carried out for ZrTe2Au after structural relaxation.

Structure (POSCAR):
```
ZrTe2Au
1.0
4.082 1.120 2.894
-0.523 3.019 4.112
0.427 -1.985 4.709
Te Au Zr
2 1 1
direct
0.250 0.250 0.250 Te
0.750 0.750 0.750 Te
0.500 0.500 0.500 Au
0.000 0.000 0.000 Zr
```

Output
* total moment: 0.0 μB per cell
* N(E_F): 3.10 states/eV/cell
* excess energy over the best structure of this formula in the dataset: 415.2 meV per atom
* energy relative to the elements, uncorrected: -0.19 eV/atom
* space group: No. 225


No. 2
A plane-wave DFT calculation with PBE was carried out for ZrTe2Au after structural relaxation.

Structure (POSCAR):
```
ZrTe2Au
1.0
3.772 0.000 0.000
0.000 4.928 0.000
0.000 0.000 4.928
Au Te Zr
1 2 1
direct
0.500 0.000 0.500 Au
0.000 0.000 0.000 Te
0.000 0.500 0.500 Te
0.500 0.500 0.000 Zr
```

Output
* total moment: 0.0 μB per cell
* N(E_F): 3.00 states/eV/cell
* excess energy over the best structure of this formula in the dataset: 372.5 meV per atom
* energy relative to the elements, uncorrected: -0.23 eV/atom
* space group: No. 123


No. 3
A plane-wave DFT calculation with PBE was carried out for ZrTe2Au after structural relaxation.

Structure (POSCAR):
```
ZrTe2Au
1.0
7.725 1.101 -0.187
4.984 6.004 0.187
-6.185 -3.856 2.793
Au Te Zr
1 2 1
direct
0.211 0.711 0.500 Au
0.989 0.989 0.000 Te
0.730 0.230 0.500 Te
0.570 0.570 0.000 Zr
```

Output
* total moment: 0.0 μB per cell
* N(E_F): 1.65 states/eV/cell
* excess energy over the best structure of this formula in the dataset: 58.9 meV per atom
* energy relative to the elements, uncorrected: -0.54 eV/atom
* space group: No. 44


No. 4
A plane-wave DFT calculation with PBE was carried out for ZrTe2Au after structural relaxation.

Structure (POSCAR):
```
ZrTe2Au
1.0
5.511 0.004 0.000
1.559 5.286 0.000
-3.158 -3.148 3.238
Au Te Zr
1 2 1
direct
0.250 0.750 0.500 Au
0.037 0.037 0.000 Te
0.463 0.463 0.000 Te
0.750 0.250 0.500 Zr
```

Output
* total moment: 0.0 μB per cell
* N(E_F): 2.59 states/eV/cell
* excess energy over the best structure of this formula in the dataset: 367.9 meV per atom
* energy relative to the elements, uncorrected: -0.23 eV/atom
* space group: No. 71